Record 1
Material: Ca2TeN
Method: DFT, PBE-GGA
State: relaxed

CIF file:
```
data_Ca2TeN
_chemical_formula_sum 'Ca8 Te4 N4'
_cell_length_a 7.8099
_cell_length_b 7.8605
_cell_length_c 6.9697
_cell_angle_alpha 90.00
_cell_angle_beta 90.00
_cell_angle_gamma 90.00
_space_group_name_H-M_alt 'P 1'
_space_group_IT_number 1
_space_group_name_Hall 'P 1'
loop_
_atom_site_label
_atom_site_fract_x
_atom_site_fract_y
_atom_site_fract_z
_atom_site_occupancy
Te1 0.0625 0.5689 0.0015 1
Te2 0.0625 0.9311 0.5015 1
Te3 0.5625 0.0689 0.4985 1
Te4 0.5625 0.4311 0.9985 1
Ca1 0.2619 0.2319 0.7711 1
Ca2 0.3632 0.7319 0.7289 1
Ca3 0.7619 0.7319 0.7289 1
Ca4 0.2619 0.2681 0.2711 1
Ca5 0.7619 0.7681 0.2289 1
Ca6 0.3632 0.7681 0.2289 1
Ca7 0.8632 0.2319 0.7711 1
Ca8 0.8632 0.2681 0.2711 1
N1 0.5626 0.7814 0.9755 1
N2 0.5626 0.7186 0.4755 1
N3 0.0626 0.2186 0.0245 1
N4 0.0626 0.2814 0.5245 1
```

## Properties
The value obtained for the total moment is 1.494 μB per cell. The excess energy over the best structure of this formula in the dataset comes out at 0.0847 eV per atom. For the total energy, the calculation gives -4.612 eV/atom. Its energy relative to the elements, uncorrected is -2.98 eV per formula unit.

=====

Record 2
Material: Ca2BeNi
Method: DFT, PBE-GGA
State: relaxed

CIF file:
```
data_Ca2BeNi
_chemical_formula_sum 'Ca4 Be2 Ni2'
_cell_length_a 7.7494
_cell_length_b 7.7494
_cell_length_c 6.2138
_cell_angle_alpha 51.42
_cell_angle_beta 51.42
_cell_angle_gamma 90.00
_space_group_name_H-M_alt 'P 1'
_space_group_IT_number 1
_space_group_name_Hall 'P 1'
loop_
_atom_site_label
_atom_site_fract_x
_atom_site_fract_y
_atom_site_fract_z
_atom_site_occupancy
Be1 0.2500 0.7500 0.5000 1
Be2 0.5000 0.5000 0.0000 1
Ca1 0.3750 0.3457 0.7500 1
Ca2 0.6543 0.1250 0.2500 1
Ca3 0.0957 0.6250 0.2500 1
Ca4 0.8750 0.9043 0.7500 1
Ni1 0.0000 0.0000 0.0000 1
Ni2 0.7500 0.2500 0.5000 1
```

## Properties
The energy of formation comes out at 0.547 eV per atom. The value obtained for the total moment is 0.000 μB per cell. For the total energy, the calculation gives -2.831 eV/atom.

=====

Record 3
Material: CsReAs3
Method: DFT, PBE-GGA
State: relaxed

CIF file:
```
data_CsReAs3
_chemical_formula_sum 'Cs1 Re1 As3'
_cell_length_a 5.4092
_cell_length_b 5.4092
_cell_length_c 5.4092
_cell_angle_alpha 90.00
_cell_angle_beta 90.00
_cell_angle_gamma 90.00
_space_group_name_H-M_alt 'P 1'
_space_group_IT_number 1
_space_group_name_Hall 'P 1'
loop_
_atom_site_label
_atom_site_fract_x
_atom_site_fract_y
_atom_site_fract_z
_atom_site_occupancy
As1 0.0000 0.0000 0.5000 1
As2 0.5000 0.0000 0.0000 1
As3 0.0000 0.5000 0.0000 1
Cs1 0.0000 0.0000 0.0000 1
Re1 0.5000 0.5000 0.5000 1
```

## Properties
The energy of formation comes out at 3.057 eV per atom. The value obtained for the total moment is 0.144 μB per cell. The excess energy over the best structure of this formula in the dataset comes out at 2.7604 eV per atom. For the total energy, the calculation gives -2.393 eV/atom.

=====

Record 4
Material: TaGe3Se
Method: DFT, PBE-GGA
State: relaxed

CIF file:
```
data_TaGe3Se
_chemical_formula_sum 'Ta1 Ge3 Se1'
_cell_length_a 5.0524
_cell_length_b 5.0524
_cell_length_c 5.0524
_cell_angle_alpha 90.00
_cell_angle_beta 90.00
_cell_angle_gamma 90.00
_space_group_name_H-M_alt 'P 1'
_space_group_IT_number 1
_space_group_name_Hall 'P 1'
loop_
_atom_site_label
_atom_site_fract_x
_atom_site_fract_y
_atom_site_fract_z
_atom_site_occupancy
Ge1 0.5000 0.0000 0.0000 1
Ge2 0.0000 0.5000 0.0000 1
Ge3 0.0000 0.0000 0.5000 1
Se1 0.5000 0.5000 0.5000 1
Ta1 0.0000 0.0000 0.0000 1
```

## Properties
The value obtained for the total moment is 0.000 μB per cell. The excess energy over the best structure of this formula in the dataset comes out at 0.0000 eV per atom. For the total energy, the calculation gives -5.224 eV/atom. Its energy relative to the elements, uncorrected is 3.07 eV per formula unit.

=====

Repeat the fourth record exactly.
Material: TaGe3Se
Method: DFT, PBE-GGA
State: relaxed

CIF file:
```
data_TaGe3Se
_chemical_formula_sum 'Ta1 Ge3 Se1'
_cell_length_a 5.0524
_cell_length_b 5.0524
_cell_length_c 5.0524
_cell_angle_alpha 90.00
_cell_angle_beta 90.00
_cell_angle_gamma 90.00
_space_group_name_H-M_alt 'P 1'
_space_group_IT_number 1
_space_group_name_Hall 'P 1'
loop_
_atom_site_label
_atom_site_fract_x
_atom_site_fract_y
_atom_site_fract_z
_atom_site_occupancy
Ge1 0.5000 0.0000 0.0000 1
Ge2 0.0000 0.5000 0.0000 1
Ge3 0.0000 0.0000 0.5000 1
Se1 0.5000 0.5000 0.5000 1
Ta1 0.0000 0.0000 0.0000 1
```

## Properties
The value obtained for the total moment is 0.000 μB per cell. The excess energy over the best structure of this formula in the dataset comes out at 0.0000 eV per atom. For the total energy, the calculation gives -5.224 eV/atom. Its energy relative to the elements, uncorrected is 3.07 eV per formula unit.

=====

Question: total moment of number 4 (TaGe3Se)?
Answer: 0.000 μB per cell

=====

Question: Which value of total moment does entry 4 give?
Answer: 0.000 μB per cell